{
  "formula": "V3FeSb2P6O24",
  "functional": "PBE+U",
  "state": "optimized geometry",
  "dft_energy_ev_per_atom": -7.21,
  "magnetic_moment_mub_per_fu": 11.00,
  "rho_g_cm3": 3.52,
  "lattice": [[4.353, 2.513, 7.342], [-4.353, 2.513, 7.342], [0.000, -5.026, 7.342]],
  "species": ["V", "V", "V", "Fe", "Sb", "Sb", "P", "P", "P", "P", "P", "P", "O", "O", "O", "O", "O", "O", "O", "O", "O", "O", "O", "O", "O", "O", "O", "O", "O", "O", "O", "O", "O", "O", "O", "O"],
  "fractional_positions": [[0.000, 0.000, 0.000], [0.207, 0.207, 0.207], [0.500, 0.500, 0.500], [0.702, 0.702, 0.702], [0.348, 0.348, 0.348], [0.844, 0.844, 0.844], [0.103, 0.816, 0.396], [0.315, 0.605, 0.896], [0.396, 0.103, 0.816], [0.605, 0.896, 0.315], [0.816, 0.396, 0.103], [0.896, 0.315, 0.605], [0.047, 0.850, 0.243], [0.090, 0.297, 0.434], [0.125, 0.767, 0.924], [0.150, 0.973, 0.367], [0.243, 0.047, 0.850], [0.266, 0.624, 0.422], [0.297, 0.434, 0.090], [0.348, 0.550, 0.743], [0.367, 0.150, 0.973], [0.422, 0.266, 0.624], [0.434, 0.090, 0.297], [0.474, 0.650, 0.867], [0.550, 0.743, 0.348], [0.591, 0.932, 0.796], [0.624, 0.422, 0.266], [0.650, 0.867, 0.474], [0.743, 0.348, 0.550], [0.767, 0.924, 0.125], [0.796, 0.591, 0.932], [0.850, 0.243, 0.047], [0.867, 0.474, 0.650], [0.924, 0.125, 0.767], [0.932, 0.796, 0.591], [0.973, 0.367, 0.150]]
}